{
  "formula": "BaY2Mg3",
  "functional": "GGA-PBE",
  "state": "optimized geometry",
  "lattice": [[-0.3743, 3.4663, -1.6968], [-3.8490, -0.4599, -0.0904], [-0.9100, 5.4054, 11.2432]],
  "species": ["Mg", "Ba", "Y", "Mg", "Mg", "Y"],
  "fractional_positions": [[0.0000, 0.0000, 0.7055], [0.5000, 0.5000, 0.5000], [0.5000, 0.5000, 0.1451], [0.0000, 0.0000, 0.0000], [0.0000, 0.0000, 0.2945], [0.5000, 0.5000, 0.8549]],
  "space_group": "P4/mmm, No. 123",
  "energy_ry_per_atom": -0.2452,
  "density_g_cm3": 3.4
}